# ReTe2Pt, relaxed, DFT PBE
# Energy relative to the lowest polymorph listed for this composition: 0.411 eV per atom
# DOS(E_F): 2.86 states/eV/f.u.
# Magnetization: 0.0 μB per formula unit
# Raw formation energy: 0.62 eV/atom
# Final energy: -5.575 eV per atom
# Space-group type: I4/mmm (139)
data_ReTe2Pt
_chemical_formula_sum 'Re1 Te2 Pt1'
_symmetry_space_group_name_H-M 'P 1'
_symmetry_Int_Tables_number 1
_cell_length_a 4.953
_cell_length_b 4.953
_cell_length_c 4.953
_cell_angle_alpha 125.79
_cell_angle_beta 125.79
_cell_angle_gamma 80.23
loop_
_symmetry_equiv_pos_as_xyz
'x,y,z'
loop_
_atom_site_label
_atom_site_fract_x
_atom_site_fract_y
_atom_site_fract_z
Re1 0.000 0.000 0.000
Te1 0.250 0.750 0.500
Te2 0.750 0.250 0.500
Pt1 0.500 0.500 0.000


# ReTe2Pt, relaxed, DFT PBE
# Energy relative to the lowest polymorph listed for this composition: 0.688 eV per atom
# DOS(E_F): 4.23 states/eV/f.u.
# Magnetization: 0.8 μB per formula unit
# Raw formation energy: 0.90 eV/atom
# Final energy: -5.297 eV per atom
# Space-group type: Pmmm (47)
data_ReTe2Pt
_chemical_formula_sum 'Re1 Te2 Pt1'
_symmetry_space_group_name_H-M 'P 1'
_symmetry_Int_Tables_number 1
_cell_length_a 3.298
_cell_length_b 4.564
_cell_length_c 5.302
_cell_angle_alpha 90.00
_cell_angle_beta 90.00
_cell_angle_gamma 90.00
loop_
_symmetry_equiv_pos_as_xyz
'x,y,z'
loop_
_atom_site_label
_atom_site_fract_x
_atom_site_fract_y
_atom_site_fract_z
Re1 0.000 0.000 0.000
Te1 0.000 0.500 0.500
Te2 0.500 0.500 0.000
Pt1 0.500 0.000 0.500


# Re2TePt, relaxed, DFT PBE
# DOS(E_F): 3.91 states/eV/f.u.
# Magnetization: 0.0 μB per formula unit
# Raw formation energy: 0.64 eV/atom
# Final energy: -7.877 eV per atom
# Space-group type: I-4m2 (119)
data_Re2TePt
_chemical_formula_sum 'Re2 Te1 Pt1'
_symmetry_space_group_name_H-M 'P 1'
_symmetry_Int_Tables_number 1
_cell_length_a 4.912
_cell_length_b 4.912
_cell_length_c 4.912
_cell_angle_alpha 130.78
_cell_angle_beta 130.78
_cell_angle_gamma 72.16
loop_
_symmetry_equiv_pos_as_xyz
'x,y,z'
loop_
_atom_site_label
_atom_site_fract_x
_atom_site_fract_y
_atom_site_fract_z
Re1 0.000 0.000 0.000
Re2 0.750 0.250 0.500
Te1 0.250 0.750 0.500
Pt1 0.500 0.500 0.000


# ReTe2Pt, relaxed, DFT PBE
# Energy relative to the lowest polymorph listed for this composition: 0.006 eV per atom
# DOS(E_F): 2.84 states/eV/f.u.
# Magnetization: 1.2 μB per formula unit
# Raw formation energy: 0.21 eV/atom
# Final energy: -5.980 eV per atom
# Space-group type: Cm (8)
data_ReTe2Pt
_chemical_formula_sum 'Re1 Te2 Pt1'
_symmetry_space_group_name_H-M 'P 1'
_symmetry_Int_Tables_number 1
_cell_length_a 4.097
_cell_length_b 4.097
_cell_length_c 7.134
_cell_angle_alpha 106.69
_cell_angle_beta 106.69
_cell_angle_gamma 60.14
loop_
_symmetry_equiv_pos_as_xyz
'x,y,z'
loop_
_atom_site_label
_atom_site_fract_x
_atom_site_fract_y
_atom_site_fract_z
Re1 0.000 0.000 0.000
Te1 0.554 0.554 0.657
Te2 0.745 0.745 0.236
Pt1 0.286 0.286 0.856


# Re2TePt, relaxed, DFT PBE
# DOS(E_F): 5.58 states/eV/f.u.
# Magnetization: 0.0 μB per formula unit
# Raw formation energy: 0.69 eV/atom
# Final energy: -7.833 eV per atom
# Space-group type: R-3m (166)
data_Re2TePt
_chemical_formula_sum 'Re2 Te1 Pt1'
_symmetry_space_group_name_H-M 'P 1'
_symmetry_Int_Tables_number 1
_cell_length_a 8.731
_cell_length_b 8.731
_cell_length_c 8.731
_cell_angle_alpha 19.85
_cell_angle_beta 19.85
_cell_angle_gamma 19.85
loop_
_symmetry_equiv_pos_as_xyz
'x,y,z'
loop_
_atom_site_label
_atom_site_fract_x
_atom_site_fract_y
_atom_site_fract_z
Re1 0.249 0.249 0.249
Re2 0.751 0.751 0.751
Te1 0.500 0.500 0.500
Pt1 0.000 0.000 0.000


# ReTePt2, relaxed, DFT PBE
# DOS(E_F): 3.37 states/eV/f.u.
# Magnetization: 0.0 μB per formula unit
# Raw formation energy: 0.35 eV/atom
# Final energy: -6.573 eV per atom
# Space-group type: P4mm (99)
data_ReTePt2
_chemical_formula_sum 'Re1 Te1 Pt2'
_symmetry_space_group_name_H-M 'P 1'
_symmetry_Int_Tables_number 1
_cell_length_a 3.380
_cell_length_b 3.380
_cell_length_c 6.055
_cell_angle_alpha 90.00
_cell_angle_beta 90.00
_cell_angle_gamma 90.00
loop_
_symmetry_equiv_pos_as_xyz
'x,y,z'
loop_
_atom_site_label
_atom_site_fract_x
_atom_site_fract_y
_atom_site_fract_z
Re1 0.000 0.000 0.000
Te1 0.500 0.500 0.269
Pt1 0.000 0.000 0.546
Pt2 0.500 0.500 0.779


# Re2TePt, relaxed, DFT PBE
# DOS(E_F): 2.90 states/eV/f.u.
# Magnetization: 0.0 μB per formula unit
# Raw formation energy: 0.60 eV/atom
# Final energy: -7.917 eV per atom
# Space-group type: P2/m (10)
data_Re2TePt
_chemical_formula_sum 'Re2 Te1 Pt1'
_symmetry_space_group_name_H-M 'P 1'
_symmetry_Int_Tables_number 1
_cell_length_a 3.932
_cell_length_b 4.853
_cell_length_c 3.948
_cell_angle_alpha 90.00
_cell_angle_beta 90.18
_cell_angle_gamma 90.00
loop_
_symmetry_equiv_pos_as_xyz
'x,y,z'
loop_
_atom_site_label
_atom_site_fract_x
_atom_site_fract_y
_atom_site_fract_z
Re1 0.228 0.000 0.315
Re2 0.772 0.000 0.685
Te1 0.000 0.500 0.000
Pt1 0.500 0.500 0.500


# ReTePt, relaxed, DFT PBE
# Energy relative to the lowest polymorph listed for this composition: 0.114 eV per atom
# DOS(E_F): 1.53 states/eV/f.u.
# Magnetization: 0.0 μB per formula unit
# Raw formation energy: 0.48 eV/atom
# Final energy: -6.732 eV per atom
# Space-group type: I4mm (107)
data_ReTePt
_chemical_formula_sum 'Re1 Te1 Pt1'
_symmetry_space_group_name_H-M 'P 1'
_symmetry_Int_Tables_number 1
_cell_length_a 6.628
_cell_length_b 6.628
_cell_length_c 6.628
_cell_angle_alpha 153.54
_cell_angle_beta 153.54
_cell_angle_gamma 37.77
loop_
_symmetry_equiv_pos_as_xyz
'x,y,z'
loop_
_atom_site_label
_atom_site_fract_x
_atom_site_fract_y
_atom_site_fract_z
Re1 0.000 0.000 0.000
Te1 0.641 0.641 0.000
Pt1 0.364 0.364 0.000


# Re2TePt, relaxed, DFT PBE
# DOS(E_F): 4.80 states/eV/f.u.
# Magnetization: 0.0 μB per formula unit
# Raw formation energy: 0.75 eV/atom
# Final energy: -7.766 eV per atom
# Space-group type: Pmmm (47)
data_Re2TePt
_chemical_formula_sum 'Re2 Te1 Pt1'
_symmetry_space_group_name_H-M 'P 1'
_symmetry_Int_Tables_number 1
_cell_length_a 3.102
_cell_length_b 4.558
_cell_length_c 4.844
_cell_angle_alpha 90.00
_cell_angle_beta 90.00
_cell_angle_gamma 90.00
loop_
_symmetry_equiv_pos_as_xyz
'x,y,z'
loop_
_atom_site_label
_atom_site_fract_x
_atom_site_fract_y
_atom_site_fract_z
Re1 0.000 0.000 0.000
Re2 0.500 0.500 0.000
Te1 0.000 0.500 0.500
Pt1 0.500 0.000 0.500


# ReTePt, relaxed, DFT PBE
# Energy relative to the lowest polymorph listed for this composition: 0.277 eV per atom
# DOS(E_F): 2.76 states/eV/f.u.
# Magnetization: 0.0 μB per formula unit
# Raw formation energy: 0.64 eV/atom
# Final energy: -6.568 eV per atom
# Space-group type: P-6m2 (187)
data_ReTePt
_chemical_formula_sum 'Re1 Te1 Pt1'
_symmetry_space_group_name_H-M 'P 1'
_symmetry_Int_Tables_number 1
_cell_length_a 4.421
_cell_length_b 4.421
_cell_length_c 3.236
_cell_angle_alpha 90.00
_cell_angle_beta 90.00
_cell_angle_gamma 120.00
loop_
_symmetry_equiv_pos_as_xyz
'x,y,z'
loop_
_atom_site_label
_atom_site_fract_x
_atom_site_fract_y
_atom_site_fract_z
Re1 0.000 0.000 0.000
Te1 0.333 0.667 0.000
Pt1 0.667 0.333 0.500


# Re2TePt, relaxed, DFT PBE
# DOS(E_F): 4.12 states/eV/f.u.
# Magnetization: 0.0 μB per formula unit
# Raw formation energy: 0.42 eV/atom
# Final energy: -8.104 eV per atom
# Space-group type: R3m (160)
data_Re2TePt
_chemical_formula_sum 'Re2 Te1 Pt1'
_symmetry_space_group_name_H-M 'P 1'
_symmetry_Int_Tables_number 1
_cell_length_a 9.521
_cell_length_b 9.521
_cell_length_c 9.521
_cell_angle_alpha 17.65
_cell_angle_beta 17.65
_cell_angle_gamma 17.65
loop_
_symmetry_equiv_pos_as_xyz
'x,y,z'
loop_
_atom_site_label
_atom_site_fract_x
_atom_site_fract_y
_atom_site_fract_z
Re1 0.000 0.000 0.000
Re2 0.261 0.261 0.261
Te1 0.754 0.754 0.754
Pt1 0.514 0.514 0.514


# ReTePt, relaxed, DFT PBE
# Energy relative to the lowest polymorph listed for this composition: 0.160 eV per atom
# DOS(E_F): 3.08 states/eV/f.u.
# Magnetization: 0.0 μB per formula unit
# Raw formation energy: 0.52 eV/atom
# Final energy: -6.686 eV per atom
# Space-group type: P3m1 (156)
data_ReTePt
_chemical_formula_sum 'Re1 Te1 Pt1'
_symmetry_space_group_name_H-M 'P 1'
_symmetry_Int_Tables_number 1
_cell_length_a 3.131
_cell_length_b 3.131
_cell_length_c 6.455
_cell_angle_alpha 90.00
_cell_angle_beta 90.00
_cell_angle_gamma 120.00
loop_
_symmetry_equiv_pos_as_xyz
'x,y,z'
loop_
_atom_site_label
_atom_site_fract_x
_atom_site_fract_y
_atom_site_fract_z
Re1 0.000 0.000 0.000
Te1 0.667 0.333 0.315
Pt1 0.333 0.667 0.684


# Re2TePt, relaxed, DFT PBE
# DOS(E_F): 5.30 states/eV/f.u.
# Magnetization: 0.0 μB per formula unit
# Raw formation energy: 1.23 eV/atom
# Final energy: -7.287 eV per atom
# Space-group type: I-42d (122)
data_Re2TePt
_chemical_formula_sum 'Re4 Te2 Pt2'
_symmetry_space_group_name_H-M 'P 1'
_symmetry_Int_Tables_number 1
_cell_length_a 7.072
_cell_length_b 7.072
_cell_length_c 7.072
_cell_angle_alpha 131.10
_cell_angle_beta 131.10
_cell_angle_gamma 71.66
loop_
_symmetry_equiv_pos_as_xyz
'x,y,z'
loop_
_atom_site_label
_atom_site_fract_x
_atom_site_fract_y
_atom_site_fract_z
Re1 0.098 0.625 0.973
Re2 0.375 0.348 0.473
Re3 0.652 0.125 0.027
Re4 0.875 0.902 0.527
Te1 0.250 0.750 0.500
Te2 0.500 0.500 0.000
Pt1 0.000 0.000 0.000
Pt2 0.750 0.250 0.500


# ReTe2Pt, relaxed, DFT PBE
# Energy relative to the lowest polymorph listed for this composition: 0.787 eV per atom
# DOS(E_F): 3.30 states/eV/f.u.
# Magnetization: 1.2 μB per formula unit
# Raw formation energy: 0.99 eV/atom
# Final energy: -5.199 eV per atom
# Space-group type: F-43m (216)
data_ReTe2Pt
_chemical_formula_sum 'Re1 Te2 Pt1'
_symmetry_space_group_name_H-M 'P 1'
_symmetry_Int_Tables_number 1
_cell_length_a 4.848
_cell_length_b 4.848
_cell_length_c 4.848
_cell_angle_alpha 60.00
_cell_angle_beta 60.00
_cell_angle_gamma 60.00
loop_
_symmetry_equiv_pos_as_xyz
'x,y,z'
loop_
_atom_site_label
_atom_site_fract_x
_atom_site_fract_y
_atom_site_fract_z
Re1 0.000 0.000 0.000
Te1 0.500 0.500 0.500
Te2 0.750 0.750 0.750
Pt1 0.250 0.250 0.250


# Re2TePt, relaxed, DFT PBE
# DOS(E_F): 3.02 states/eV/f.u.
# Magnetization: 0.0 μB per formula unit
# Raw formation energy: 0.72 eV/atom
# Final energy: -7.796 eV per atom
# Space-group type: C2/m (12)
data_Re2TePt
_chemical_formula_sum 'Re2 Te1 Pt1'
_symmetry_space_group_name_H-M 'P 1'
_symmetry_Int_Tables_number 1
_cell_length_a 5.776
_cell_length_b 5.776
_cell_length_c 3.472
_cell_angle_alpha 107.27
_cell_angle_beta 107.27
_cell_angle_gamma 125.47
loop_
_symmetry_equiv_pos_as_xyz
'x,y,z'
loop_
_atom_site_label
_atom_site_fract_x
_atom_site_fract_y
_atom_site_fract_z
Re1 0.000 0.500 0.000
Re2 0.500 0.000 0.000
Te1 0.000 0.000 0.500
Pt1 0.500 0.500 0.500


# ReTe2Pt, relaxed, DFT PBE
# Energy relative to the lowest polymorph listed for this composition: 0.095 eV per atom
# DOS(E_F): 3.96 states/eV/f.u.
# Magnetization: 0.0 μB per formula unit
# Raw formation energy: 0.30 eV/atom
# Final energy: -5.891 eV per atom
# Space-group type: P4mm (99)
data_ReTe2Pt
_chemical_formula_sum 'Re1 Te2 Pt1'
_symmetry_space_group_name_H-M 'P 1'
_symmetry_Int_Tables_number 1
_cell_length_a 3.134
_cell_length_b 3.134
_cell_length_c 9.240
_cell_angle_alpha 90.00
_cell_angle_beta 90.00
_cell_angle_gamma 90.00
loop_
_symmetry_equiv_pos_as_xyz
'x,y,z'
loop_
_atom_site_label
_atom_site_fract_x
_atom_site_fract_y
_atom_site_fract_z
Re1 0.000 0.000 0.000
Te1 0.000 0.000 0.590
Te2 0.500 0.500 0.177
Pt1 0.500 0.500 0.810